Record 1
RbIn2Pd2: optimized geometry, GGA-PBE.

Cell and atoms, written as CIF:
```
data_RbIn2Pd2
_chemical_formula_sum 'Rb2 In4 Pd4'
_cell_length_a 4.8960
_cell_length_b 4.8960
_cell_length_c 11.0231
_cell_angle_alpha 90.00
_cell_angle_beta 90.00
_cell_angle_gamma 90.00
_space_group_name_H-M_alt 'I 4/m m m'
_space_group_IT_number 139
_space_group_name_Hall '-I 4 2'
loop_
_atom_site_label
_atom_site_type_symbol
_atom_site_fract_x
_atom_site_fract_y
_atom_site_fract_z
Rb1 Rb 0.0000 0.0000 0.0000
In1 In 0.0000 0.0000 0.3559
Pd1 Pd 0.0000 0.5000 0.2500
```

Summary:
Its theoretical density is 6.636 g/cm³. The value obtained for the total energy is -36.3 eV for the cell shown. As for the formation energy: -0.266 eV per atom. For the density of states at the Fermi level, the calculation gives 0.61 states/eV/atom. As for the energy above the most stable polymorph in this dataset: 0.43 kJ/mol of atoms.


Record 2
Rb2InPd: optimized geometry, GGA-PBE.

Cell and atoms, written as CIF:
```
data_Rb2InPd
_chemical_formula_sum 'Rb8 In4 Pd4'
_cell_length_a 12.5797
_cell_length_b 12.5797
_cell_length_c 5.2112
_cell_angle_alpha 90.00
_cell_angle_beta 90.00
_cell_angle_gamma 90.00
_space_group_name_H-M_alt 'I -4 2 d'
_space_group_IT_number 122
_space_group_name_Hall 'I -4 2bw'
loop_
_atom_site_label
_atom_site_type_symbol
_atom_site_fract_x
_atom_site_fract_y
_atom_site_fract_z
Rb1 Rb 0.0808 0.2500 0.1250
In1 In 0.0000 0.0000 0.5000
Pd1 Pd 0.0000 0.0000 0.0000
```

Summary:
Its theoretical density is 3.159 g/cm³. The value obtained for the total energy is -40.1 eV for the cell shown. As for the formation energy: -0.040 eV per atom. For the density of states at the Fermi level, the calculation gives 0.79 states/eV/atom.